# 1
SrNiO2F | GGA+U | optimized geometry

E ... -3.35 eV/atom
Fermi-level density of states ... 0.308 states/eV per atom

a = 4.3958 Å, b = 7.7688 Å, c = 4.3958 Å
α = 90.00°, β = 90.00°, γ = 90.00°
Last column: nearest neighbours and their distance in Å.
Sites, in units of the cell vectors:
Sr (0.0000, 0.0000, 0.0000)  4 O 2.20
O (0.5000, 0.0000, 0.0000)  2 Sr 2.20
O (0.0000, 0.0000, 0.5000)  2 Sr 2.20
Ni (0.0000, 0.5000, 0.0000)  4 F 3.11
F (0.5000, 0.5000, 0.5000)  4 Ni 3.11



# 2
PuUNiO6 | GGA+U | optimized geometry

E ... -8.84 eV/atom
Fermi-level density of states ... 0.855 states/eV per atom

a = 5.7184 Å, b = 5.7184 Å, c = 8.6933 Å
α = 90.00°, β = 90.00°, γ = 120.00°
Last column: nearest neighbours and their distance in Å.
Sites, in units of the cell vectors:
Ni (0.0000, 0.0000, 0.0000)  6 O 2.24
Ni (0.0000, 0.0000, 0.5000)  6 O 2.24
O (0.9866, 0.6561, 0.8698)  1 U 2.11, 1 Pu 2.21, 1 Ni 2.24
O (0.0134, 0.3439, 0.1302)  1 U 2.11, 1 Pu 2.21, 1 Ni 2.24
O (0.6695, 0.6561, 0.6302)  1 U 2.11, 1 Pu 2.21, 1 Ni 2.24
O (0.9866, 0.3305, 0.6302)  1 U 2.11, 1 Pu 2.21, 1 Ni 2.24
O (0.3439, 0.0134, 0.6302)  1 U 2.11, 1 Pu 2.21, 1 Ni 2.24
O (0.6561, 0.9866, 0.3698)  1 U 2.11, 1 Pu 2.21, 1 Ni 2.24
O (0.3439, 0.3305, 0.8698)  1 U 2.11, 1 Pu 2.21, 1 Ni 2.24
O (0.3305, 0.9866, 0.1302)  1 U 2.11, 1 Pu 2.21, 1 Ni 2.24
O (0.3305, 0.3439, 0.3698)  1 U 2.11, 1 Pu 2.21, 1 Ni 2.24
O (0.0134, 0.6695, 0.3698)  1 U 2.11, 1 Pu 2.21, 1 Ni 2.24
O (0.6561, 0.6695, 0.1302)  1 U 2.11, 1 Pu 2.21, 1 Ni 2.24
O (0.6695, 0.0134, 0.8698)  1 U 2.11, 1 Pu 2.21, 1 Ni 2.24
Pu (0.6667, 0.3333, 0.2500)  6 O 2.21
Pu (0.3333, 0.6667, 0.7500)  6 O 2.21
U (0.6667, 0.3333, 0.7500)  6 O 2.11
U (0.3333, 0.6667, 0.2500)  6 O 2.11